# 1
Sr2MgZr2 | PBE | optimized geometry

E: -4.0060 eV per atom
Density of states at the Fermi level: 4.54 states/eV per cell
Space-group type: I4/mmm, No. 139
Formation energy from the elements: 0.405 eV per atom

a b c (Å): 11.069 11.069 11.069
angles (deg): 158.85 158.85 30.08
Element x y z (fractional)
Sr: 0.102 0.102 0.000
Sr: 0.898 0.898 0.000
Mg: 0.500 0.500 0.000
Zr: 0.250 0.750 0.500
Zr: 0.750 0.250 0.500


# 2
Sr2MgZr | PBE | optimized geometry

E: -3.0380 eV per atom
Density of states at the Fermi level: 4.34 states/eV per cell
Space-group type: Cm, No. 8
Formation energy from the elements: 0.339 eV per atom

a b c (Å): 6.792 6.792 6.256
angles (deg): 108.78 108.78 31.09
Element x y z (fractional)
Sr: 0.000 0.000 0.000
Sr: 0.209 0.209 0.638
Mg: 0.757 0.757 0.179
Zr: 0.445 0.445 0.460


# 3
Sr2MgZr | PBE | optimized geometry

E: -3.0285 eV per atom
Density of states at the Fermi level: 6.23 states/eV per cell
Space-group type: P4/mmm, No. 123
Formation energy from the elements: 0.348 eV per atom

a b c (Å): 3.612 3.612 10.427
angles (deg): 90.00 90.00 90.00
Element x y z (fractional)
Sr: 0.000 0.000 0.247
Sr: 0.000 0.000 0.753
Mg: 0.500 0.500 0.500
Zr: 0.500 0.500 0.000


# 4
SrMg2Zr | PBE | optimized geometry

E: -2.9268 eV per atom
Density of states at the Fermi level: 5.52 states/eV per cell
Space-group type: F-43m, No. 216
Formation energy from the elements: 0.428 eV per atom

a b c (Å): 5.414 5.414 5.414
angles (deg): 60.00 60.00 60.00
Element x y z (fractional)
Sr: 0.000 0.000 0.000
Mg: 0.500 0.500 0.500
Mg: 0.750 0.750 0.750
Zr: 0.250 0.250 0.250


# 5
SrMg2Zr | PBE | optimized geometry

E: -3.1033 eV per atom
Density of states at the Fermi level: 4.87 states/eV per cell
Space-group type: Fm-3m, No. 225
Formation energy from the elements: 0.252 eV per atom

a b c (Å): 5.385 5.385 5.385
angles (deg): 60.00 60.00 60.00
Element x y z (fractional)
Sr: 0.000 0.000 0.000
Mg: 0.250 0.250 0.250
Mg: 0.750 0.750 0.750
Zr: 0.500 0.500 0.500


# 6
Sr2MgZr | PBE | optimized geometry

E: -2.9126 eV per atom
Density of states at the Fermi level: 4.81 states/eV per cell
Space-group type: F-43m, No. 216
Formation energy from the elements: 0.464 eV per atom

a b c (Å): 5.734 5.734 5.734
angles (deg): 60.00 60.00 60.00
Element x y z (fractional)
Sr: 0.000 0.000 0.000
Sr: 0.250 0.250 0.250
Mg: 0.750 0.750 0.750
Zr: 0.500 0.500 0.500


# 7
SrMg2Zr | PBE | optimized geometry

E: -3.1563 eV per atom
Density of states at the Fermi level: 4.68 states/eV per cell
Space-group type: P4mm, No. 99
Formation energy from the elements: 0.198 eV per atom

a b c (Å): 3.413 3.413 9.558
angles (deg): 90.00 90.00 90.00
Element x y z (fractional)
Sr: 0.000 0.000 0.000
Mg: 0.000 0.000 0.497
Mg: 0.500 0.500 0.706
Zr: 0.500 0.500 0.293


# 8
SrMg2Zr | PBE | optimized geometry

E: -3.0561 eV per atom
Density of states at the Fermi level: 4.56 states/eV per cell
Space-group type: C2/m, No. 12
Formation energy from the elements: 0.299 eV per atom

a b c (Å): 5.616 5.616 6.642
angles (deg): 97.18 97.18 33.80
Element x y z (fractional)
Sr: 0.000 0.000 0.000
Mg: 0.242 0.242 0.701
Mg: 0.758 0.758 0.299
Zr: 0.500 0.500 0.500


# 9
Sr2MgZr | PBE | optimized geometry

E: -2.9117 eV per atom
Density of states at the Fermi level: 5.88 states/eV per cell
Space-group type: I-4m2, No. 119
Formation energy from the elements: 0.465 eV per atom

a b c (Å): 6.355 6.355 6.355
angles (deg): 132.03 132.03 70.19
Element x y z (fractional)
Sr: 0.000 0.000 0.000
Sr: 0.750 0.250 0.500
Mg: 0.500 0.500 0.000
Zr: 0.250 0.750 0.500


# 10
SrMg2Zr | PBE | optimized geometry

E: -3.2485 eV per atom
Density of states at the Fermi level: 3.97 states/eV per cell
Space-group type: P4/mmm, No. 123
Formation energy from the elements: 0.106 eV per atom

a b c (Å): 3.595 3.595 8.590
angles (deg): 90.00 90.00 90.00
Element x y z (fractional)
Sr: 0.000 0.000 0.000
Mg: 0.500 0.500 0.293
Mg: 0.500 0.500 0.707
Zr: 0.000 0.000 0.500


# 11
SrMg2Zr | PBE | optimized geometry

E: -3.0837 eV per atom
Density of states at the Fermi level: 4.53 states/eV per cell
Space-group type: R-3m, No. 166
Formation energy from the elements: 0.271 eV per atom

a b c (Å): 11.304 11.304 11.304
angles (deg): 17.41 17.41 17.41
Element x y z (fractional)
Sr: 0.000 0.000 0.000
Mg: 0.242 0.242 0.242
Mg: 0.758 0.758 0.758
Zr: 0.500 0.500 0.500


# 12
Sr2MgZr | PBE | optimized geometry

E: -2.9946 eV per atom
Density of states at the Fermi level: 5.79 states/eV per cell
Space-group type: Pm, No. 6
Formation energy from the elements: 0.382 eV per atom

a b c (Å): 3.685 5.511 7.148
angles (deg): 90.00 104.94 90.00
Element x y z (fractional)
Sr: 0.000 0.000 0.000
Sr: 0.324 0.500 0.649
Mg: 0.712 0.000 0.430
Zr: 0.605 0.500 0.208


Question: formation energy from the elements of number 6 (Sr2MgZr)?
Answer: 0.464 eV per atom


Question: E of number 11 (SrMg2Zr)?
Answer: -3.0837 eV per atom


Question: Look up the density of states at the Fermi level of the eighth one.
Answer: 4.56 states/eV per cell